This record from Alexandria via LeMat-Bulk describes a geometry-optimized SiNiGe2 structure. The functional is PBE-GGA.

Computed properties:
- uncorrected energy (eV per formula unit) = -19.401
- uncorrected formation energy (kJ/mol of atoms) = 25.05

abc: 6.547 6.547 6.547
angles: 129.27 129.27 74.57
Atoms (fractional coordinates):
Si: 0.000 0.000 0.000
Si: 0.750 0.250 0.500
Ni: 0.250 0.750 0.500
Ni: 0.500 0.500 0.000
Ge: 0.144 0.625 0.019
Ge: 0.375 0.394 0.519
Ge: 0.606 0.125 0.981
Ge: 0.875 0.856 0.481